[1]
First-principles (GGA-PBE) data for crystalline La3Pm5Ru2 at its relaxed geometry, as listed in Alexandria.

The value obtained for the total magnetization is 0.000 μB per atom. The calculation puts the formation energy at -0.092 eV/atom. The calculation puts the density of states at the Fermi level at 10.4 states/eV/f.u.

It has space group Ibam (No. 72), with a = 10.2752 Å, b = 15.4578 Å, c = 8.3268 Å, α = 90.00°, β = 90.00° and γ = 90.00°. The inequivalent atoms are La at (0.0000, 0.0000, 0.2500), La at (0.2335, 0.3835, 0.0000), Pm at (0.0000, 0.2498, 0.2500), Pm at (0.0000, 0.5000, 0.2500), Pm at (0.2345, 0.3644, 0.5000) and Ru at (0.0133, 0.1301, 0.5000).

***

[2]
First-principles (GGA-PBE) data for crystalline Ni2HN at its relaxed geometry, as listed in Alexandria.

The value obtained for the total magnetization is 0.000 μB per atom. The calculation puts the density of states at the Fermi level at 2.2 states/eV/f.u. As for the energy above the lowest structure with this stoichiometry: 0.000 eV/atom.

It has space group I-42d (No. 122), with a = 4.1507 Å, b = 4.1507 Å, c = 8.0781 Å, α = 90.00°, β = 90.00° and γ = 90.00°. The inequivalent atoms are Ni at (0.2303, 0.2500, 0.1250), H at (0.0000, 0.0000, 0.0000) and N at (0.0000, 0.0000, 0.5000).

***

[3]
First-principles (GGA-PBE) data for crystalline TbScPb2 at its relaxed geometry, as listed in Alexandria.

The value obtained for the total magnetization is 0.000 μB per atom. The calculation puts the formation energy at -0.282 eV/atom. The calculation puts the density of states at the Fermi level at 3.3 states/eV/f.u.

It has space group Pnna (No. 52), with a = 8.5670 Å, b = 6.3396 Å, c = 8.0613 Å, α = 90.00°, β = 90.00° and γ = 90.00°. The inequivalent atoms are Tb at (0.0623, 0.2500, 0.2500), Sc at (0.2500, 0.0000, 0.5618), Pb at (0.0558, 0.7500, 0.2500) and Pb at (0.2500, 0.0000, 0.9367).

***

[4]
First-principles (GGA-PBE) data for crystalline La4PmY6 at its relaxed geometry, as listed in Alexandria.

The value obtained for the total magnetization is 0.000 μB per atom. The calculation puts the formation energy at 0.306 eV/atom. The calculation puts the density of states at the Fermi level at 16.3 states/eV/f.u. As for the energy above the lowest structure with this stoichiometry: 0.122 eV/atom.

It has space group I-42m (No. 121), with a = 6.8296 Å, b = 6.8296 Å, c = 17.0603 Å, α = 90.00°, β = 90.00° and γ = 90.00°. The inequivalent atoms are La at (0.1891, 0.1891, 0.3235), Pm at (0.0000, 0.0000, 0.5000), Y at (0.0000, 0.5000, 0.0000) and Y at (0.1749, 0.1749, 0.1192).

***

[5]
First-principles (GGA-PBE) data for crystalline Li2PbCl at its relaxed geometry, as listed in Alexandria.

The value obtained for the total magnetization is 0.000 μB per atom. The calculation puts the density of states at the Fermi level at 2.0 states/eV/f.u. As for the energy above the lowest structure with this stoichiometry: 0.327 eV/atom. For the energy relative to the elements, uncorrected, the calculation gives -2.41 eV/f.u.

It has space group Pmmm (No. 47), with a = 3.6550 Å, b = 3.7639 Å, c = 7.6386 Å, α = 90.00°, β = 90.00° and γ = 90.00°. The inequivalent atoms are Li at (0.0000, 0.0000, 0.0000), Li at (0.0000, 0.5000, 0.5000), Pb at (0.5000, 0.0000, 0.5000) and Cl at (0.5000, 0.5000, 0.0000).

***

[6]
First-principles (GGA-PBE) data for crystalline Tb3ErTl3 at its relaxed geometry, as listed in Alexandria.

The value obtained for the total magnetization is 0.000 μB per atom. The calculation puts the formation energy at -0.250 eV/atom. The calculation puts the density of states at the Fermi level at 9.3 states/eV/f.u. As for the energy above the lowest structure with this stoichiometry: 0.000 eV/atom.

It has space group P2_13 (No. 198), with a = 9.3447 Å, b = 9.3447 Å, c = 9.3447 Å, α = 90.00°, β = 90.00° and γ = 90.00°. The inequivalent atoms are Tb at (0.0707, 0.4293, 0.5707), Tb at (0.1761, 0.1761, 0.1761), Tb at (0.1758, 0.8242, 0.3242), Er at (0.0747, 0.5747, 0.9253) and Tl at (0.0006, 0.2533, 0.8721).

***

[7]
First-principles (GGA-PBE) data for crystalline BeSn2OsBr at its relaxed geometry, as listed in Alexandria.

The value obtained for the total magnetization is 0.453 μB per atom. The calculation puts the density of states at the Fermi level at 3.6 states/eV/f.u. For the energy relative to the elements, uncorrected, the calculation gives 5.94 eV/f.u.

It has space group P4/mmm (No. 123), with a = 4.9519 Å, b = 4.9519 Å, c = 4.5558 Å, α = 90.00°, β = 90.00° and γ = 90.00°. The inequivalent atoms are Be at (0.0000, 0.0000, 0.0000), Sn at (0.0000, 0.5000, 0.0000), Os at (0.5000, 0.5000, 0.5000) and Br at (0.0000, 0.0000, 0.5000).

***

[8]
First-principles (GGA-PBE) data for crystalline CaBiAu at its relaxed geometry, as listed in Alexandria.

The value obtained for the total magnetization is 0.000 μB per atom. The calculation puts the formation energy at -0.617 eV/atom. The calculation puts the density of states at the Fermi level at 1.2 states/eV/f.u.

It has space group P2_1/m (No. 11), with a = 4.1448 Å, b = 4.5920 Å, c = 8.9769 Å, α = 90.00°, β = 103.27° and γ = 90.00°. The inequivalent atoms are Ca at (0.0911, 0.2500, 0.1826), Bi at (0.2833, 0.2500, 0.5679) and Au at (0.4523, 0.2500, 0.9055).

***

[9]
First-principles (GGA-PBE) data for crystalline Tl5Cd2Te5 at its relaxed geometry, as listed in Alexandria.

The value obtained for the total magnetization is 0.000 μB per atom. The calculation puts the density of states at the Fermi level at 3.1 states/eV/f.u. For the energy relative to the elements, uncorrected, the calculation gives -3.75 eV/f.u.

It has space group C2/m (No. 12), with a = 15.7694 Å, b = 4.6808 Å, c = 12.3973 Å, α = 90.00°, β = 110.16° and γ = 90.00°. The inequivalent atoms are Tl at (0.0000, 0.0000, 0.0000), Tl at (0.1559, 0.0000, 0.5549), Tl at (0.2312, 0.0000, 0.8420), Cd at (0.0453, 0.5000, 0.2872), Te at (0.0000, 0.5000, 0.5000), Te at (0.1162, 0.5000, 0.9083) and Te at (0.1529, 0.0000, 0.2907).

***

[10]
First-principles (GGA-PBE) data for crystalline Ni2MoN at its relaxed geometry, as listed in Alexandria.

The value obtained for the total magnetization is 0.000 μB per atom. The calculation puts the density of states at the Fermi level at 3.9 states/eV/f.u. For the energy relative to the elements, uncorrected, the calculation gives 0.99 eV/f.u.

It has space group I-42d (No. 122), with a = 6.4606 Å, b = 6.4606 Å, c = 4.2671 Å, α = 90.00°, β = 90.00° and γ = 90.00°. The inequivalent atoms are Ni at (0.1531, 0.7500, 0.1250), Mo at (0.0000, 0.0000, 0.5000) and N at (0.0000, 0.0000, 0.0000).